(1)
Computed, not measured: an optimized crystal structure of GdSi2Ru2 at the PBE-GGA level of DFT.

Space group: No. 139
Total energy: -9.60 eV per atom

CIF file:
```
data_GdSi2Ru2
_cell_length_a 5.655
_cell_length_b 5.655
_cell_length_c 5.655
_cell_angle_alpha 136.49
_cell_angle_beta 136.49
_cell_angle_gamma 63.22
_space_group_name_H-M_alt 'P 1'
_space_group_IT_number 1
loop_
_space_group_symop_operation_xyz
'x,y,z'
loop_
_atom_site_label
_atom_site_type_symbol
_atom_site_fract_x
_atom_site_fract_y
_atom_site_fract_z
_atom_site_occupancy
Ru1 Ru 0.250 0.750 0.500 1
Ru2 Ru 0.750 0.250 0.500 1
Si1 Si 0.368 0.368 0.000 1
Si2 Si 0.632 0.632 0.000 1
Gd1 Gd 0.000 0.000 0.000 1
```

---

(2)
Computed, not measured: an optimized crystal structure of Gd2SiRu at the PBE-GGA level of DFT.

Space group: No. 123
E above lowest polymorph: 0.000 eV per atom

CIF file:
```
data_Gd2SiRu
_cell_length_a 3.795
_cell_length_b 4.688
_cell_length_c 4.688
_cell_angle_alpha 90.00
_cell_angle_beta 90.00
_cell_angle_gamma 90.00
_space_group_name_H-M_alt 'P 1'
_space_group_IT_number 1
loop_
_space_group_symop_operation_xyz
'x,y,z'
loop_
_atom_site_label
_atom_site_type_symbol
_atom_site_fract_x
_atom_site_fract_y
_atom_site_fract_z
_atom_site_occupancy
Ru1 Ru 0.500 0.000 0.000 1
Si1 Si 0.500 0.500 0.500 1
Gd1 Gd 0.000 0.000 0.500 1
Gd2 Gd 0.000 0.500 0.000 1
```

---

(3)
Computed, not measured: an optimized crystal structure of GdSiRu at the PBE-GGA level of DFT.

Space group: No. 187
Total energy: -10.22 eV per atom

CIF file:
```
data_GdSiRu
_cell_length_a 4.101
_cell_length_b 4.112
_cell_length_c 4.112
_cell_angle_alpha 120.00
_cell_angle_beta 90.00
_cell_angle_gamma 90.00
_space_group_name_H-M_alt 'P 1'
_space_group_IT_number 1
loop_
_space_group_symop_operation_xyz
'x,y,z'
loop_
_atom_site_label
_atom_site_type_symbol
_atom_site_fract_x
_atom_site_fract_y
_atom_site_fract_z
_atom_site_occupancy
Ru1 Ru 0.167 0.333 0.667 1
Si1 Si 0.167 0.000 0.000 1
Gd1 Gd 0.667 0.667 0.333 1
```

---

(4)
Computed, not measured: an optimized crystal structure of SmGdRu4 at the PBE-GGA level of DFT.

Space group: No. 216
DFT formation energy: -0.228 eV per atom

CIF file:
```
data_SmGdRu4
_cell_length_a 5.375
_cell_length_b 5.375
_cell_length_c 5.375
_cell_angle_alpha 60.00
_cell_angle_beta 60.00
_cell_angle_gamma 60.00
_space_group_name_H-M_alt 'P 1'
_space_group_IT_number 1
loop_
_space_group_symop_operation_xyz
'x,y,z'
loop_
_atom_site_label
_atom_site_type_symbol
_atom_site_fract_x
_atom_site_fract_y
_atom_site_fract_z
_atom_site_occupancy
Ru1 Ru 0.625 0.625 0.125 1
Ru2 Ru 0.625 0.125 0.625 1
Ru3 Ru 0.625 0.625 0.625 1
Ru4 Ru 0.125 0.625 0.625 1
Gd1 Gd 0.250 0.250 0.250 1
Sm1 Sm 0.000 0.000 0.000 1
```

---

(5)
Computed, not measured: an optimized crystal structure of SmGd2Ru at the PBE-GGA level of DFT.

Space group: No. 123
E above lowest polymorph: 0.000 eV per atom
DFT formation energy: -0.168 eV per atom

CIF file:
```
data_SmGd2Ru
_cell_length_a 3.460
_cell_length_b 3.460
_cell_length_c 9.094
_cell_angle_alpha 90.00
_cell_angle_beta 90.00
_cell_angle_gamma 90.00
_space_group_name_H-M_alt 'P 1'
_space_group_IT_number 1
loop_
_space_group_symop_operation_xyz
'x,y,z'
loop_
_atom_site_label
_atom_site_type_symbol
_atom_site_fract_x
_atom_site_fract_y
_atom_site_fract_z
_atom_site_occupancy
Ru1 Ru 0.500 0.500 0.000 1
Gd1 Gd 0.000 0.000 0.817 1
Gd2 Gd 0.000 0.000 0.183 1
Sm1 Sm 0.500 0.500 0.500 1
```

---

(6)
Computed, not measured: an optimized crystal structure of Sm2GdRu at the PBE-GGA level of DFT.

Space group: No. 123
DFT formation energy: -0.100 eV per atom

CIF file:
```
data_Sm2GdRu
_cell_length_a 3.501
_cell_length_b 3.501
_cell_length_c 9.083
_cell_angle_alpha 90.00
_cell_angle_beta 90.00
_cell_angle_gamma 90.00
_space_group_name_H-M_alt 'P 1'
_space_group_IT_number 1
loop_
_space_group_symop_operation_xyz
'x,y,z'
loop_
_atom_site_label
_atom_site_type_symbol
_atom_site_fract_x
_atom_site_fract_y
_atom_site_fract_z
_atom_site_occupancy
Ru1 Ru 0.500 0.500 0.000 1
Gd1 Gd 0.500 0.500 0.500 1
Sm1 Sm 0.000 0.000 0.815 1
Sm2 Sm 0.000 0.000 0.185 1
```

---

(7)
Computed, not measured: an optimized crystal structure of SmGd3Ru at the PBE-GGA level of DFT.

Space group: No. 221
DFT formation energy: -0.067 eV per atom

CIF file:
```
data_SmGd3Ru
_cell_length_a 5.431
_cell_length_b 5.431
_cell_length_c 5.431
_cell_angle_alpha 90.00
_cell_angle_beta 90.00
_cell_angle_gamma 90.00
_space_group_name_H-M_alt 'P 1'
_space_group_IT_number 1
loop_
_space_group_symop_operation_xyz
'x,y,z'
loop_
_atom_site_label
_atom_site_type_symbol
_atom_site_fract_x
_atom_site_fract_y
_atom_site_fract_z
_atom_site_occupancy
Ru1 Ru 0.000 0.000 0.000 1
Gd1 Gd 0.000 0.500 0.000 1
Gd2 Gd 0.000 0.000 0.500 1
Gd3 Gd 0.500 0.000 0.000 1
Sm1 Sm 0.500 0.500 0.500 1
```

---

(8)
Computed, not measured: an optimized crystal structure of SmGd2Ru at the PBE-GGA level of DFT.

Space group: No. 166
E above lowest polymorph: 0.273 eV per atom
DFT formation energy: 0.104 eV per atom

CIF file:
```
data_SmGd2Ru
_cell_length_a 3.549
_cell_length_b 3.549
_cell_length_c 10.846
_cell_angle_alpha 80.58
_cell_angle_beta 80.58
_cell_angle_gamma 60.00
_space_group_name_H-M_alt 'P 1'
_space_group_IT_number 1
loop_
_space_group_symop_operation_xyz
'x,y,z'
loop_
_atom_site_label
_atom_site_type_symbol
_atom_site_fract_x
_atom_site_fract_y
_atom_site_fract_z
_atom_site_occupancy
Ru1 Ru 0.500 0.500 0.500 1
Gd1 Gd 0.107 0.107 0.679 1
Gd2 Gd 0.893 0.893 0.321 1
Sm1 Sm 0.000 0.000 0.000 1
```

---

Number 1: M_tot 7.10 μB per cell. Number 2: M_tot 13.91 μB per cell. Number 3: M_tot 7.03 μB per cell. Number 4: M_tot 6.54 μB per cell. Number 5: M_tot 14.10 μB per cell. Number 6: M_tot 8.10 μB per cell. Number 7: M_tot 22.64 μB per cell. Number 8: M_tot 15.42 μB per cell.